(1)
K2CoHgMo, optimized geometry, DFT PBE; VASP energy = -2.984 eV/atom; ΔE_f = 1102 meV/atom
1.0
6.592 0.000 0.000
0.000 6.592 0.000
0.000 0.000 4.322
K Co Hg Mo
2 1 1 1
direct
0.000 0.500 0.000
0.500 0.000 0.000
0.000 0.000 0.500
0.500 0.500 0.500
0.000 0.000 0.000

=====

(2)
K2CoHgN, optimized geometry, DFT PBE; VASP energy = -3.594 eV/atom; E_form (uncorrected) = -9 meV per atom
1.0
5.970 0.000 0.000
0.000 5.970 0.000
0.000 0.000 3.471
K Co Hg N
2 1 1 1
direct
0.000 0.500 0.000
0.500 0.000 0.000
0.000 0.000 0.500
0.500 0.500 0.500
0.000 0.000 0.000

=====

(3)
KCoHg2P, optimized geometry, DFT PBE; VASP energy = -2.064 eV/atom; ΔE_f = 779 meV/atom
1.0
5.139 0.000 0.000
0.000 5.139 0.000
0.000 0.000 6.233
K Co Hg P
1 1 2 1
direct
0.000 0.000 0.000
0.500 0.500 0.000
0.000 0.500 0.500
0.500 0.000 0.500
0.000 0.000 0.500